Entry 1:
ZrFe9Mo2 | GGA-PBE | optimized geometry

Values from the calculation:
Calculated total energy = -0.6535 Ry/atom
Size of the total moment = 1.069 μB per atom

a b c (Å): 4.7588 4.7588 23.3692
angles (deg): 90.00 90.00 120.00
Space group R-3m (No. 166, hexagonal axes)
Inequivalent atoms, fractional coordinates:
1 Zr 0.0000 0.0000 0.0000
2 Fe 0.0000 0.0000 0.3336
3 Fe 0.0000 0.0000 0.5000
4 Fe 0.0052 0.5026 0.9132
5 Mo 0.0000 0.0000 0.1428

---

Entry 2:
Zr2FeMo | GGA-PBE | optimized geometry

Values from the calculation:
Calculated total energy = -0.6637 Ry/atom
Size of the total moment = 0.235 μB per atom

a b c (Å): 3.058 3.058 7.745
angles (deg): 90.00 90.00 90.00
Space group P4mm (No. 99)
Inequivalent atoms, fractional coordinates:
1 Zr 0.000 0.000 0.000
2 Zr 0.500 0.500 0.322
3 Fe 0.000 0.000 0.565
4 Mo 0.500 0.500 0.733

---

Entry 3:
ZrFeMo3 | GGA-PBE | optimized geometry

Values from the calculation:
Distance to the lowest polymorph of the same formula = 1752 meV per atom
Size of the total moment = 0.026 μB per atom

a b c (Å): 4.720 4.720 4.720
angles (deg): 90.00 90.00 90.00
Space group Pm-3m (No. 221)
Inequivalent atoms, fractional coordinates:
1 Zr 0.000 0.000 0.000
2 Fe 0.500 0.500 0.500
3 Mo 0.000 0.000 0.500

---

Entry 4:
Zr2FeMo | GGA-PBE | optimized geometry

Values from the calculation:
Calculated total energy = -0.6558 Ry/atom
Size of the total moment = 0.216 μB per atom

a b c (Å): 3.363 4.279 4.924
angles (deg): 90.00 90.00 90.00
Space group Pmmm (No. 47)
Inequivalent atoms, fractional coordinates:
1 Zr 0.000 0.000 0.000
2 Zr 0.500 0.000 0.500
3 Fe 0.000 0.500 0.500
4 Mo 0.500 0.500 0.000

---

Entry 5:
ZrFeMo2 | GGA-PBE | optimized geometry

Values from the calculation:
Distance to the lowest polymorph of the same formula = 18 meV per atom
Size of the total moment = 0.070 μB per atom

a b c (Å): 6.325 6.325 6.325
angles (deg): 90.00 90.00 90.00
Space group F-43m (No. 216)
Inequivalent atoms, fractional coordinates:
1 Zr 0.000 0.000 0.000
2 Fe 0.250 0.250 0.750
3 Mo 0.000 0.000 0.500
4 Mo 0.250 0.250 0.250

---

Entry 6:
ZrFeMo2 | GGA-PBE | optimized geometry

Values from the calculation:
Distance to the lowest polymorph of the same formula = 462 meV per atom
Size of the total moment = 0.000 μB per atom

a b c (Å): 7.304 7.304 5.116
angles (deg): 90.00 90.00 90.00
Space group I-42d (No. 122)
Inequivalent atoms, fractional coordinates:
1 Zr 0.000 0.000 0.000
2 Fe 0.000 0.000 0.500
3 Mo 0.201 0.250 0.625

---

Entry 7:
Zr2FeMo | GGA-PBE | optimized geometry

Values from the calculation:
Calculated total energy = -0.6558 Ry/atom
Size of the total moment = 0.298 μB per atom

a b c (Å): 2.940 4.323 5.661
angles (deg): 90.00 98.49 90.00
Space group P2/m (No. 10)
Inequivalent atoms, fractional coordinates:
1 Zr 0.243 0.000 0.246
2 Fe 0.500 0.500 0.000
3 Mo 0.000 0.500 0.500

---

Entry 8:
ZrFeMo2 | GGA-PBE | optimized geometry

Values from the calculation:
Distance to the lowest polymorph of the same formula = 144 meV per atom
Size of the total moment = 0.484 μB per atom

a b c (Å): 3.259 4.425 8.937
angles (deg): 90.00 90.00 90.00
Space group Cmmm (No. 65)
Inequivalent atoms, fractional coordinates:
1 Zr 0.000 0.000 0.000
2 Fe 0.000 0.000 0.500
3 Mo 0.000 0.500 0.278

---

Entry 9:
ZrFeMo2 | GGA-PBE | optimized geometry

Values from the calculation:
Distance to the lowest polymorph of the same formula = 311 meV per atom
Size of the total moment = 0.365 μB per atom

a b c (Å): 3.0599 3.0599 24.8202
angles (deg): 90.00 90.00 120.00
Space group R3m (No. 160, hexagonal axes)
Inequivalent atoms, fractional coordinates:
1 Zr 0.0000 0.0000 0.0000
2 Fe 0.0000 0.0000 0.7522
3 Mo 0.0000 0.0000 0.2397
4 Mo 0.0000 0.0000 0.4949

---

Entry 10:
ZrFe2Mo | GGA-PBE | optimized geometry

Values from the calculation:
Calculated total energy = -0.6550 Ry/atom
Size of the total moment = 0.820 μB per atom

a b c (Å): 2.795 4.342 5.027
angles (deg): 90.00 99.36 90.00
Space group Pm (No. 6)
Inequivalent atoms, fractional coordinates:
1 Zr 0.000 0.000 0.000
2 Fe 0.520 0.000 0.491
3 Fe 0.700 0.500 0.225
4 Mo 0.254 0.500 0.688

---

Entry 11:
Fe8N | GGA-PBE | optimized geometry

Values from the calculation:
Size of the total moment = 2.157 μB per atom
Energy relative to the elements, uncorrected = -2.7 kJ per mole of atoms

a b c (Å): 5.693 5.693 6.229
angles (deg): 90.00 90.00 90.00
Space group I4/mmm (No. 139)
Inequivalent atoms, fractional coordinates:
1 Fe 0.000 0.000 0.206
2 Fe 0.000 0.500 0.250
3 Fe 0.243 0.243 0.500
4 N 0.000 0.000 0.500

---

Entry 12:
FeN | GGA-PBE | optimized geometry

Values from the calculation:
Size of the total moment = 0.000 μB per atom
Energy relative to the elements, uncorrected = 13.9 kJ per mole of atoms

a b c (Å): 8.513 2.934 5.038
angles (deg): 90.00 90.00 90.00
Space group Pmn2_1 (No. 31)
Inequivalent atoms, fractional coordinates:
1 Fe 0.000 0.042 0.000
2 Fe 0.215 0.594 0.775
3 N 0.000 0.546 0.772
4 N 0.195 0.907 0.133

---

Entry 13:
FeN | GGA-PBE | optimized geometry

Values from the calculation:
Size of the total moment = 0.000 μB per atom
Energy relative to the elements, uncorrected = 6.4 kJ per mole of atoms

a b c (Å): 5.145 5.328 6.186
angles (deg): 90.00 90.00 90.00
Space group P2_12_12_1 (No. 19)
Inequivalent atoms, fractional coordinates:
1 Fe 0.120 0.069 0.279
2 Fe 0.190 0.366 0.981
3 N 0.160 0.949 0.551
4 N 0.181 0.414 0.290

---

Entry 14:
FeN | GGA-PBE | optimized geometry

Values from the calculation:
Size of the total moment = 1.288 μB per atom
Energy relative to the elements, uncorrected = 70.5 kJ per mole of atoms

a b c (Å): 2.557 2.557 2.557
angles (deg): 90.00 90.00 90.00
Space group Pm-3m (No. 221)
Inequivalent atoms, fractional coordinates:
1 Fe 0.000 0.000 0.000
2 N 0.500 0.500 0.500

---

Entry 15:
Fe2N | GGA-PBE | optimized geometry

Values from the calculation:
Size of the total moment = 0.998 μB per atom
Energy relative to the elements, uncorrected = -3.5 kJ per mole of atoms

a b c (Å): 4.346 5.467 4.744
angles (deg): 90.00 90.00 90.00
Space group Pbcn (No. 60)
Inequivalent atoms, fractional coordinates:
1 Fe 0.249 0.127 0.085
2 N 0.000 0.135 0.750

---

Entry 16:
FeN | GGA-PBE | optimized geometry

Values from the calculation:
Size of the total moment = 1.092 μB per atom
Energy relative to the elements, uncorrected = 23.5 kJ per mole of atoms

a b c (Å): 4.066 4.066 4.066
angles (deg): 90.00 90.00 90.00
Space group Fm-3m (No. 225)
Inequivalent atoms, fractional coordinates:
1 Fe 0.000 0.000 0.000
2 N 0.000 0.000 0.500

---

Entry 17:
FeN | GGA-PBE | optimized geometry

Values from the calculation:
Size of the total moment = 0.181 μB per atom
Energy relative to the elements, uncorrected = 13.0 kJ per mole of atoms

a b c (Å): 7.908 7.908 3.115
angles (deg): 90.00 90.00 90.00
Space group P4/m (No. 83)
Inequivalent atoms, fractional coordinates:
1 Fe 0.072 0.634 0.000
2 Fe 0.160 0.285 0.500
3 N 0.078 0.750 0.500
4 N 0.165 0.418 0.000

---

Entry 18:
Fe2N | GGA-PBE | optimized geometry

Values from the calculation:
Size of the total moment = 0.965 μB per atom
Energy relative to the elements, uncorrected = -3.5 kJ per mole of atoms

a b c (Å): 4.328 4.742 8.214
angles (deg): 90.00 90.00 90.00
Space group P2_12_12 (No. 18)
Inequivalent atoms, fractional coordinates:
1 Fe 0.248 0.166 0.250
2 Fe 0.248 0.670 0.418
3 Fe 0.249 0.667 0.084
4 N 0.000 0.000 0.074
5 N 0.000 0.500 0.250
6 N 0.000 0.500 0.591

---

Entry 19:
Fe2N | GGA-PBE | optimized geometry

Values from the calculation:
Size of the total moment = 0.373 μB per atom
Energy relative to the elements, uncorrected = 17.5 kJ per mole of atoms

a b c (Å): 2.5867 2.5867 4.7364
angles (deg): 90.00 90.00 120.00
Space group P-6m2 (No. 187)
Inequivalent atoms, fractional coordinates:
1 Fe 0.0000 0.0000 0.2388
2 N 0.3333 0.6667 0.5000

---

Entry 20:
FeN | GGA-PBE | optimized geometry

Values from the calculation:
Size of the total moment = 0.000 μB per atom
Energy relative to the elements, uncorrected = -11.7 kJ per mole of atoms

a b c (Å): 4.233 4.233 4.233
angles (deg): 90.00 90.00 90.00
Space group F-43m (No. 216)
Inequivalent atoms, fractional coordinates:
1 Fe 0.000 0.000 0.000
2 N 0.250 0.250 0.750

---

How do the records compare in density of states at the Fermi level? In the order shown, they have 16.6 4.5 11.4 4.6 2.5 5.1 4.3 4.0 3.4 4.4 4.8 1.2 1.1 1.5 2.9 1.9 1.7 2.8 3.1 1.7 states/eV/f.u..